An optimized crystal structure of Rb3Sn2Au4, computed with PBE.

Values from the calculation:
Total energy (eV per cell): -26.54
ΔH_f (0 K) (eV per atom): -0.28
V (Å³ per atom): 32.34

a b c (Å): 6.934 6.934 9.617
angles (deg): 105.83 105.83 41.15
Atoms (fractional coordinates):
Rb: 0.000 0.000 0.000
Rb: 0.369 0.369 0.618
Rb: 0.631 0.631 0.382
Sn: 0.335 0.335 0.215
Sn: 0.665 0.665 0.785
Au: 0.079 0.079 0.630
Au: 0.250 0.250 0.911
Au: 0.750 0.750 0.089
Au: 0.921 0.921 0.370

=====

An optimized crystal structure of Rb2Sn2Au3, computed with PBE.

Values from the calculation:
Total energy (eV per cell): -43.99
ΔH_f (0 K) (eV per atom): -0.32
V (Å³ per atom): 35.64

a b c (Å): 7.562 7.689 9.187
angles (deg): 90.00 110.93 90.00
Atoms (fractional coordinates):
Rb: 0.202 0.103 0.400
Rb: 0.202 0.397 0.900
Rb: 0.798 0.603 0.100
Rb: 0.798 0.897 0.600
Sn: 0.350 0.611 0.544
Sn: 0.350 0.889 0.044
Sn: 0.650 0.111 0.956
Sn: 0.650 0.389 0.456
Au: 0.000 0.000 0.000
Au: 0.000 0.500 0.500
Au: 0.438 0.668 0.283
Au: 0.438 0.832 0.783
Au: 0.562 0.168 0.217
Au: 0.562 0.332 0.717

=====

An optimized crystal structure of RbSn4Au, computed with PBE.

Values from the calculation:
Total energy (eV per cell): -41.73
ΔH_f (0 K) (eV per atom): -0.10
V (Å³ per atom): 31.11

a b c (Å): 12.243 12.243 6.711
angles (deg): 90.00 90.00 158.22
Atoms (fractional coordinates):
Rb: 0.115 0.885 0.750
Rb: 0.885 0.115 0.250
Sn: 0.056 0.944 0.250
Sn: 0.286 0.714 0.018
Sn: 0.286 0.714 0.482
Sn: 0.500 0.500 0.000
Sn: 0.500 0.500 0.500
Sn: 0.714 0.286 0.518
Sn: 0.714 0.286 0.982
Sn: 0.944 0.056 0.750
Au: 0.375 0.625 0.750
Au: 0.625 0.375 0.250

=====

An optimized crystal structure of Rb2Sn2Au3, computed with PBE.

Values from the calculation:
Total energy (eV per cell): -21.82
ΔH_f (0 K) (eV per atom): -0.29
V (Å³ per atom): 32.07

a b c (Å): 7.154 7.154 9.402
angles (deg): 128.55 128.55 38.37
Atoms (fractional coordinates):
Rb: 0.175 0.175 0.258
Rb: 0.825 0.825 0.742
Sn: 0.462 0.462 0.280
Sn: 0.538 0.538 0.720
Au: 0.000 0.000 0.500
Au: 0.194 0.194 0.896
Au: 0.806 0.806 0.104

=====

An optimized crystal structure of Rb2SnAu3, computed with PBE.

Values from the calculation:
Total energy (eV per cell): -34.12
ΔH_f (0 K) (eV per atom): -0.21
V (Å³ per atom): 32.41

a b c (Å): 7.120 7.120 7.846
angles (deg): 94.56 94.56 79.39
Atoms (fractional coordinates):
Rb: 0.063 0.266 0.127
Rb: 0.266 0.063 0.627
Rb: 0.734 0.937 0.373
Rb: 0.937 0.734 0.873
Sn: 0.484 0.516 0.750
Sn: 0.516 0.484 0.250
Au: 0.188 0.537 0.502
Au: 0.208 0.792 0.250
Au: 0.463 0.812 0.998
Au: 0.537 0.188 0.002
Au: 0.792 0.208 0.750
Au: 0.812 0.463 0.498

=====

An optimized crystal structure of RbSn2Au6, computed with PBE.

Values from the calculation:
Total energy (eV per cell): -29.24
ΔH_f (0 K) (eV per atom): -0.07
V (Å³ per atom): 27.13

a b c (Å): 8.217 8.217 8.217
angles (deg): 148.65 121.04 68.31
Atoms (fractional coordinates):
Rb: 0.000 0.000 0.000
Sn: 0.366 0.866 0.500
Sn: 0.634 0.134 0.500
Au: 0.100 0.300 0.800
Au: 0.324 0.500 0.824
Au: 0.500 0.300 0.200
Au: 0.500 0.700 0.800
Au: 0.676 0.500 0.176
Au: 0.900 0.700 0.200

=====

An optimized crystal structure of Rb3Sn2Au9, computed with PBE.

Values from the calculation:
Total energy (eV per cell): -42.23
ΔH_f (0 K) (eV per atom): -0.13
V (Å³ per atom): 25.31

a b c (Å): 9.087 9.087 9.087
angles (deg): 148.72 112.13 76.62
Atoms (fractional coordinates):
Rb: 0.000 0.000 0.000
Rb: 0.289 0.289 0.000
Rb: 0.711 0.711 0.000
Sn: 0.305 0.500 0.805
Sn: 0.695 0.500 0.195
Au: 0.017 0.663 0.354
Au: 0.154 0.868 0.286
Au: 0.309 0.663 0.646
Au: 0.418 0.132 0.286
Au: 0.500 0.000 0.500
Au: 0.582 0.868 0.714
Au: 0.691 0.337 0.354
Au: 0.846 0.132 0.714
Au: 0.983 0.337 0.646

=====

An optimized crystal structure of Rb2SnAu2, computed with PBE.

Values from the calculation:
Total energy (eV per cell): -27.97
ΔH_f (0 K) (eV per atom): -0.30
V (Å³ per atom): 33.18

a b c (Å): 6.720 6.720 8.277
angles (deg): 98.43 98.43 64.35
Atoms (fractional coordinates):
Rb: 0.023 0.269 0.131
Rb: 0.269 0.023 0.631
Rb: 0.731 0.977 0.369
Rb: 0.977 0.731 0.869
Sn: 0.424 0.576 0.250
Sn: 0.576 0.424 0.750
Au: 0.215 0.510 0.500
Au: 0.490 0.785 0.000
Au: 0.510 0.215 0.000
Au: 0.785 0.490 0.500

=====

An optimized crystal structure of Rb2SnAu2, computed with PBE.

Values from the calculation:
Total energy (eV per cell): -27.87
ΔH_f (0 K) (eV per atom): -0.29
V (Å³ per atom): 36.28

a b c (Å): 7.079 7.079 12.451
angles (deg): 117.42 117.42 41.95
Atoms (fractional coordinates):
Rb: 0.012 0.012 0.164
Rb: 0.186 0.186 0.596
Rb: 0.814 0.814 0.404
Rb: 0.988 0.988 0.836
Sn: 0.293 0.293 0.141
Sn: 0.707 0.707 0.859
Au: 0.303 0.303 0.922
Au: 0.481 0.481 0.379
Au: 0.519 0.519 0.621
Au: 0.697 0.697 0.078

=====

An optimized crystal structure of RbSnAu, computed with PBE.

Values from the calculation:
Total energy (eV per cell): -18.35
ΔH_f (0 K) (eV per atom): -0.31
V (Å³ per atom): 33.47

a b c (Å): 4.830 6.597 6.807
angles (deg): 95.84 90.09 111.33
Atoms (fractional coordinates):
Rb: 0.125 0.249 0.364
Rb: 0.875 0.751 0.636
Sn: 0.409 0.820 0.135
Sn: 0.591 0.180 0.865
Au: 0.198 0.397 0.902
Au: 0.802 0.603 0.098

=====

An optimized crystal structure of Rb4Sn5Au2, computed with PBE.

Values from the calculation:
Total energy (eV per cell): -32.03
ΔH_f (0 K) (eV per atom): -0.14
V (Å³ per atom): 37.63

a b c (Å): 7.097 6.015 9.712
angles (deg): 90.00 93.14 90.00
Atoms (fractional coordinates):
Rb: 0.235 0.000 0.112
Rb: 0.264 0.000 0.631
Rb: 0.736 0.000 0.369
Rb: 0.765 0.000 0.888
Sn: 0.000 0.500 0.500
Sn: 0.368 0.500 0.359
Sn: 0.379 0.500 0.873
Sn: 0.621 0.500 0.127
Sn: 0.632 0.500 0.641
Au: 0.003 0.500 0.790
Au: 0.997 0.500 0.210

=====

An optimized crystal structure of Rb2SnAu, computed with PBE.

Values from the calculation:
Total energy (eV per cell): -8.59
ΔH_f (0 K) (eV per atom): 0.16
V (Å³ per atom): 41.98

a b c (Å): 12.320 12.320 12.320
angles (deg): 18.70 18.70 18.70
Atoms (fractional coordinates):
Rb: 0.100 0.100 0.100
Rb: 0.900 0.900 0.900
Sn: 0.000 0.000 0.000
Au: 0.500 0.500 0.500